## AcCrAg2F8 (PBE+U)

Data for crystalline AcCrAg2F8 at its relaxed geometry.

a = 4.451 Å, b = 5.781 Å, c = 7.380 Å
α = 90.00°, β = 90.00°, γ = 94.03°
Each line ends with the local moment (μB).
Sites, in units of the cell vectors:
Cr 0.000 0.000 0.000  2.96
F 0.363 0.202 0.000  -0.01
F 0.109 0.801 0.207  -0.01
F 0.891 0.199 0.207  -0.01
F 0.891 0.199 0.793  -0.01
Ag 0.500 0.500 0.778  -0.03
F 0.109 0.801 0.793  -0.01
F 0.486 0.237 0.500  0.00
Ag 0.500 0.500 0.222  -0.03
F 0.514 0.763 0.500  0.00
Ac 0.000 0.000 0.500  0.00
F 0.637 0.798 0.000  -0.01

magnetization	2.9	μB per formula unit
E	-63.31	eV for the cell shown